No. 1
LaCr3C after structural relaxation, computed with GGA-PBE.

Uncorrected energy: -8.19 eV per atom
Formation energy: 0.42 eV per atom

abc: 4.1600 4.1600 4.1600
angles: 90.00 90.00 90.00
Closest atoms and distances in Å follow each position.
Fractional coordinates of all 5 atoms:
La1 0.0000 0.0000 0.0000  12 Cr 2.94
Cr1 0.0000 0.5000 0.5000  2 C 2.08
Cr2 0.5000 0.0000 0.5000  2 C 2.08
Cr3 0.5000 0.5000 0.0000  2 C 2.08
C1 0.5000 0.5000 0.5000  6 Cr 2.08

---

No. 2
LaCr2C3 after structural relaxation, computed with GGA-PBE.

Uncorrected energy: -8.62 eV per atom
Formation energy: 0.02 eV per atom

abc: 5.9302 5.9302 4.9506
angles: 90.00 90.00 112.71
Closest atoms and distances in Å follow each position.
Fractional coordinates of all 12 atoms:
La1 0.2070 0.7930 0.7500  8 C 2.88-3.21, 4 Cr 3.14
La2 0.7930 0.2070 0.2500  8 C 2.88-3.21, 4 Cr 3.14
Cr1 0.3108 0.3108 0.0000  4 C 1.95-1.96
Cr2 0.3108 0.3108 0.5000  4 C 1.95-1.96
Cr3 0.6892 0.6892 0.0000  4 C 1.95-1.96
Cr4 0.6892 0.6892 0.5000  4 C 1.95-1.96
C1 0.0324 0.1867 0.7500  1 C 1.44
C2 0.1867 0.0324 0.2500  1 C 1.44
C3 0.4134 0.5866 0.2500  4 Cr 1.95
C4 0.5866 0.4134 0.7500  4 Cr 1.95
C5 0.8133 0.9676 0.7500  1 C 1.44
C6 0.9676 0.8133 0.2500  1 C 1.44

---

No. 3
LiLa2CrC after structural relaxation, computed with GGA-PBE.

Uncorrected energy: -6.09 eV per atom
Formation energy: 0.04 eV per atom

abc: 5.4091 5.4091 3.9153
angles: 90.00 90.00 90.00
Closest atoms and distances in Å follow each position.
Fractional coordinates of all 5 atoms:
Li1 0.0000 0.0000 0.0000  8 La 3.34
La1 0.0000 0.5000 0.5000  2 C 2.70
La2 0.5000 0.0000 0.5000  2 C 2.70
Cr1 0.5000 0.5000 0.0000  2 C 1.96
C1 0.5000 0.5000 0.5000  2 Cr 1.96

---

No. 4
La2MgCrC after structural relaxation, computed with GGA-PBE.

Uncorrected energy: -6.08 eV per atom
Formation energy: -0.02 eV per atom

abc: 5.4573 5.4573 3.9381
angles: 90.00 90.00 90.00
Closest atoms and distances in Å follow each position.
Fractional coordinates of all 5 atoms:
La1 0.0000 0.5000 0.0000  2 C 2.73
La2 0.5000 0.0000 0.0000  2 C 2.73
Mg1 0.0000 0.0000 0.5000  8 La 3.36
Cr1 0.5000 0.5000 0.5000  2 C 1.97
C1 0.5000 0.5000 0.0000  2 Cr 1.97

---

No. 5
LaCr2CN after structural relaxation, computed with GGA-PBE.

Uncorrected energy: -8.69 eV per atom
ΔE_f (raw): -0.3419 eV/atom

abc: 5.4423 5.4423 7.0625
angles: 90.00 90.00 143.32
Closest atoms and distances in Å follow each position.
Fractional coordinates of all 10 atoms:
La1 0.0411 0.9589 0.7500  4 N 2.50
La2 0.9589 0.0411 0.2500  4 N 2.50
Cr1 0.3185 0.6815 0.5675  1 N 1.93
Cr2 0.3185 0.6815 0.9325  1 N 1.93
Cr3 0.6815 0.3185 0.0675  1 N 1.93
Cr4 0.6815 0.3185 0.4325  1 N 1.93
C1 0.2302 0.7698 0.2500  6 Cr 2.20-2.42
C2 0.7698 0.2302 0.7500  6 Cr 2.20-2.42
N1 0.5000 0.5000 0.0000  2 Cr 1.93
N2 0.5000 0.5000 0.5000  2 Cr 1.93

---

> Which value of uncorrected energy does entry 4 give?

-6.08 eV per atom

---

> The highest uncorrected energy belongs to which entry?

La2MgCrC